1.
# La2AlTe

A relaxed structure of La2AlTe (PBE-GGA, Alexandria via LeMat-Bulk).

Results
Energy relative to the lowest polymorph listed for this composition (eV per formula unit): 2.782
N(E_F) (states/eV/f.u.): 3.1
Total magnetic moment (Bohr magnetons per cell): 0.00
Energy relative to the elements, uncorrected (kJ/mol of atoms): -26.7

The structure in POSCAR format:
```
La2AlTe
1.0
1.976 1.141 9.554
-1.976 1.141 9.554
0.000 -2.281 9.554
La Al Te
2 1 1
Direct
0.000 0.000 0.000
0.232 0.232 0.232
0.478 0.478 0.478
0.752 0.752 0.752
```

2.
# PmNd6Y2Th

A relaxed structure of PmNd6Y2Th (PBE-GGA, Alexandria via LeMat-Bulk).

Results
N(E_F) (states/eV/f.u.): 14.2
Total magnetic moment (Bohr magnetons per cell): 0.00
Formation enthalpy at 0 K (eV/f.u.): 1.4

The structure in POSCAR format:
```
PmNd6Y2Th
1.0
4.794 -7.544 0.000
4.794 7.544 0.000
-1.073 0.000 9.588
Pm Nd Y Th
2 12 4 2
Direct
0.094 0.906 0.750
0.906 0.094 0.250
0.021 0.798 0.384
0.077 0.512 0.189
0.202 0.979 0.116
0.263 0.606 0.562
0.394 0.737 0.938
0.488 0.923 0.311
0.512 0.077 0.689
0.606 0.263 0.062
0.737 0.394 0.438
0.798 0.021 0.884
0.923 0.488 0.811
0.979 0.202 0.616
0.211 0.300 0.945
0.300 0.211 0.445
0.700 0.789 0.555
0.789 0.700 0.055
0.464 0.536 0.250
0.536 0.464 0.750
```

3.
# CaGdGaPt

A relaxed structure of CaGdGaPt (PBE-GGA, Alexandria via LeMat-Bulk).

Results
N(E_F) (states/eV/f.u.): 1.9
Total magnetic moment (Bohr magnetons per cell): 7.07
Formation enthalpy at 0 K (eV/f.u.): -3.0

The structure in POSCAR format:
```
CaGdGaPt
1.0
0.000 3.565 3.565
3.565 0.000 3.565
3.565 3.565 0.000
Ca Gd Ga Pt
1 1 1 1
Direct
0.000 0.000 0.000
0.500 0.500 0.500
0.250 0.250 0.250
0.750 0.750 0.750
```

4.
# LiTlZnO3

A relaxed structure of LiTlZnO3 (PBE-GGA, Alexandria via LeMat-Bulk).

Results
Total magnetic moment (Bohr magnetons per cell): 0.00
Energy relative to the elements, uncorrected (kJ/mol of atoms): -111.0

The structure in POSCAR format:
```
LiTlZnO3
1.0
5.591 0.000 0.000
0.000 3.239 0.000
0.000 0.000 9.208
Li Tl Zn O
2 2 2 6
Direct
0.102 0.250 0.396
0.898 0.750 0.604
0.386 0.750 0.708
0.614 0.250 0.292
0.087 0.750 0.119
0.913 0.250 0.881
0.123 0.750 0.896
0.170 0.250 0.602
0.329 0.750 0.271
0.671 0.250 0.729
0.830 0.750 0.398
0.877 0.250 0.104
```

5.
# CoTcSe2

A relaxed structure of CoTcSe2 (PBE-GGA, Alexandria via LeMat-Bulk).

Results
Energy relative to the lowest polymorph listed for this composition (eV per formula unit): 1.617
N(E_F) (states/eV/f.u.): 3.6
Total magnetic moment (Bohr magnetons per cell): 0.91
Energy relative to the elements, uncorrected (kJ/mol of atoms): 12.8

The structure in POSCAR format:
```
CoTcSe2
1.0
1.564 0.903 7.218
-1.564 0.903 7.218
0.000 -1.806 7.218
Co Tc Se
1 1 2
Direct
0.000 0.000 0.000
0.500 0.500 0.500
0.253 0.253 0.253
0.747 0.747 0.747
```

6.
# VIn2Fe

A relaxed structure of VIn2Fe (PBE-GGA, Alexandria via LeMat-Bulk).

Results
Energy relative to the lowest polymorph listed for this composition (eV per formula unit): 1.258
N(E_F) (states/eV/f.u.): 4.0
Total magnetic moment (Bohr magnetons per cell): 6.79
Formation enthalpy at 0 K (eV/f.u.): 2.7

The structure in POSCAR format:
```
VIn2Fe
1.0
-3.652 3.652 2.860
3.652 -3.652 2.860
3.652 3.652 -2.860
V In Fe
2 4 2
Direct
0.000 0.000 0.000
0.750 0.250 0.500
0.141 0.625 0.016
0.375 0.391 0.516
0.609 0.125 0.984
0.875 0.859 0.484
0.250 0.750 0.500
0.500 0.500 0.000
```

7.
# TaSb2AsW

A relaxed structure of TaSb2AsW (PBE-GGA, Alexandria via LeMat-Bulk).

Results
N(E_F) (states/eV/f.u.): 4.3
Total magnetic moment (Bohr magnetons per cell): 0.00
Energy relative to the elements, uncorrected (kJ/mol of atoms): 112.1

The structure in POSCAR format:
```
TaSb2AsW
1.0
5.135 0.000 0.000
0.000 5.135 0.000
0.000 0.000 5.012
Ta Sb As W
1 2 1 1
Direct
0.000 0.000 0.000
0.000 0.500 0.500
0.500 0.000 0.500
0.500 0.500 0.000
0.000 0.000 0.500
```

8.
# TbGdCdGa

A relaxed structure of TbGdCdGa (PBE-GGA, Alexandria via LeMat-Bulk).

Results
N(E_F) (states/eV/f.u.): 3.1
Total magnetic moment (Bohr magnetons per cell): 7.73
Formation enthalpy at 0 K (eV/f.u.): -1.8

The structure in POSCAR format:
```
TbGdCdGa
1.0
0.000 3.688 3.688
3.688 0.000 3.688
3.688 3.688 0.000
Tb Gd Cd Ga
1 1 1 1
Direct
0.000 0.000 0.000
0.500 0.500 0.500
0.750 0.750 0.750
0.250 0.250 0.250
```

9.
# Np2NO3

A relaxed structure of Np2NO3 (PBE-GGA, Alexandria via LeMat-Bulk).

Results
N(E_F) (states/eV/f.u.): 12.5
Total magnetic moment (Bohr magnetons per cell): 10.00
Energy relative to the elements, uncorrected (kJ/mol of atoms): -248.6

The structure in POSCAR format:
```
Np2NO3
1.0
5.343 0.000 0.000
0.000 5.343 0.000
0.000 0.000 5.343
Np N O
4 2 6
Direct
0.000 0.000 0.000
0.000 0.500 0.500
0.500 0.000 0.500
0.500 0.500 0.000
0.250 0.250 0.250
0.750 0.750 0.750
0.250 0.250 0.750
0.250 0.750 0.250
0.250 0.750 0.750
0.750 0.250 0.250
0.750 0.250 0.750
0.750 0.750 0.250
```

10.
# TmAlZnCu

A relaxed structure of TmAlZnCu (PBE-GGA, Alexandria via LeMat-Bulk).

Results
N(E_F) (states/eV/f.u.): 2.0
Total magnetic moment (Bohr magnetons per cell): 0.00
Formation enthalpy at 0 K (eV/f.u.): -1.4

The structure in POSCAR format:
```
TmAlZnCu
1.0
0.000 3.240 3.240
3.240 0.000 3.240
3.240 3.240 0.000
Tm Al Zn Cu
1 1 1 1
Direct
0.000 0.000 0.000
0.500 0.500 0.500
0.750 0.750 0.750
0.250 0.250 0.250
```

11.
# SnGeSb2Te

A relaxed structure of SnGeSb2Te (PBE-GGA, Alexandria via LeMat-Bulk).

Results
Energy relative to the lowest polymorph listed for this composition (eV per formula unit): 0.000
N(E_F) (states/eV/f.u.): 4.4
Total magnetic moment (Bohr magnetons per cell): 0.00
Energy relative to the elements, uncorrected (kJ/mol of atoms): 47.5

The structure in POSCAR format:
```
SnGeSb2Te
1.0
5.372 0.000 0.000
0.000 5.372 0.000
0.000 0.000 5.426
Sn Ge Sb Te
1 1 2 1
Direct
0.000 0.000 0.000
0.500 0.500 0.500
0.000 0.500 0.500
0.500 0.000 0.500
0.500 0.500 0.000
```

12.
# Ca2BIr

A relaxed structure of Ca2BIr (PBE-GGA, Alexandria via LeMat-Bulk).

Results
N(E_F) (states/eV/f.u.): 2.8
Total magnetic moment (Bohr magnetons per cell): 0.00
Formation enthalpy at 0 K (eV/f.u.): -1.6

The structure in POSCAR format:
```
Ca2BIr
1.0
3.202 -1.851 0.000
3.202 1.851 0.000
-2.119 0.000 7.734
Ca B Ir
2 1 1
Direct
0.000 0.000 0.000
0.179 0.179 0.544
0.756 0.756 0.272
0.423 0.423 0.272
```